ZrBCl3 | GGA-PBE | optimized geometry

a = 4.480 Å, b = 4.480 Å, c = 4.480 Å
α = 90.00°, β = 90.00°, γ = 90.00°
Sites, in units of the cell vectors:
Zr  0.000  0.000  0.000
B  0.500  0.500  0.500
Cl  0.000  0.500  0.500
Cl  0.500  0.000  0.500
Cl  0.500  0.500  0.000

Output
* E_form (uncorrected): 0.382 eV per atom
* energy relative to the lowest polymorph listed for this composition: 429.5 meV per atom
* density of states at the Fermi level: 3.96 states/eV/cell
* VASP energy: -18.86 eV per cell
* M_tot: 0.4050 μB/atom


Zr2BCl | GGA-PBE | optimized geometry

a = 6.745 Å, b = 6.745 Å, c = 6.745 Å
α = 130.99°, β = 130.99°, γ = 71.82°
Sites, in units of the cell vectors:
Zr  0.069  0.625  0.944
Zr  0.375  0.319  0.444
Zr  0.681  0.125  0.056
Zr  0.875  0.931  0.556
B  0.000  0.000  0.000
B  0.750  0.250  0.500
Cl  0.250  0.750  0.500
Cl  0.500  0.500  0.000

Output
* E_form (uncorrected): -0.230 eV per atom
* energy relative to the lowest polymorph listed for this composition: 0.0 meV per atom
* density of states at the Fermi level: 3.91 states/eV/cell
* VASP energy: -53.08 eV per cell
* M_tot: 0.0000 μB/atom


ZrB3Cl | GGA-PBE | optimized geometry

a = 4.721 Å, b = 4.721 Å, c = 4.721 Å
α = 90.00°, β = 90.00°, γ = 90.00°
Sites, in units of the cell vectors:
Zr  0.000  0.000  0.000
B  0.000  0.000  0.500
B  0.000  0.500  0.000
B  0.500  0.000  0.000
Cl  0.500  0.500  0.500

Output
* E_form (uncorrected): 2.023 eV per atom
* energy relative to the lowest polymorph listed for this composition: 327.1 meV per atom
* density of states at the Fermi level: 6.32 states/eV/cell
* VASP energy: -20.31 eV per cell
* M_tot: 0.2414 μB/atom


Zr2BCl2 | GGA-PBE | optimized geometry

a = 10.121 Å, b = 10.121 Å, c = 10.121 Å
α = 20.04°, β = 20.04°, γ = 20.04°
Sites, in units of the cell vectors:
Zr  0.123  0.123  0.123
Zr  0.877  0.877  0.877
B  0.500  0.500  0.500
Cl  0.269  0.269  0.269
Cl  0.731  0.731  0.731

Output
* E_form (uncorrected): -1.383 eV per atom
* density of states at the Fermi level: 1.30 states/eV/cell
* VASP energy: -34.38 eV per cell
* M_tot: 0.0000 μB/atom


Zr4BCl5 | GGA-PBE | optimized geometry

a = 8.344 Å, b = 8.344 Å, c = 7.615 Å
α = 103.58°, β = 103.58°, γ = 24.50°
Sites, in units of the cell vectors:
Zr  0.002  0.002  0.297
Zr  0.357  0.357  0.431
Zr  0.643  0.643  0.569
Zr  0.998  0.998  0.703
B  0.500  0.500  0.500
Cl  0.161  0.161  0.830
Cl  0.170  0.170  0.327
Cl  0.500  0.500  0.000
Cl  0.830  0.830  0.673
Cl  0.839  0.839  0.170

Output
* E_form (uncorrected): -1.362 eV per atom
* density of states at the Fermi level: 1.99 states/eV/cell
* VASP energy: -63.73 eV per cell
* M_tot: 0.0000 μB/atom


Zr4B2Cl5 | GGA-PBE | optimized geometry

a = 9.530 Å, b = 9.530 Å, c = 9.530 Å
α = 159.23°, β = 133.72°, γ = 51.24°
Sites, in units of the cell vectors:
Zr  0.169  0.169  0.000
Zr  0.199  0.500  0.699
Zr  0.801  0.500  0.301
Zr  0.831  0.831  0.000
B  0.046  0.046  0.000
B  0.954  0.954  0.000
Cl  0.106  0.335  0.771
Cl  0.436  0.665  0.771
Cl  0.500  0.000  0.500
Cl  0.564  0.335  0.229
Cl  0.894  0.665  0.229

Output
* E_form (uncorrected): -1.103 eV per atom
* density of states at the Fermi level: 4.02 states/eV/cell
* VASP energy: -68.91 eV per cell
* M_tot: 0.0000 μB/atom


- Look up the VASP energy of the fourth one.
  -34.38 eV per cell